Here is a geometry-optimized Rb6Co2O7 structure from Alexandria. Energies are from PBE with a Hubbard U.

Results
- Volume: 319.0 Å³/f.u.
- Magnetic moment: 9.99 μB per formula unit
- Space group: P2_1/c
- Excess energy over the best structure of this formula in the dataset: 0.0 meV per atom
- VASP energy: -138.15 eV/cell

Cell: 6.954 9.532 11.691 Å, 90.00 124.58 90.00°
Element x y z (fractional)
Rb  0.060  0.147  0.426
Rb  0.060  0.353  0.926
Rb  0.198  0.528  0.444
Rb  0.198  0.972  0.944
Rb  0.419  0.205  0.286
Rb  0.419  0.295  0.786
Rb  0.581  0.705  0.214
Rb  0.581  0.795  0.714
Rb  0.802  0.028  0.056
Rb  0.802  0.472  0.556
Rb  0.940  0.647  0.074
Rb  0.940  0.853  0.574
Co  0.318  0.639  0.868
Co  0.318  0.861  0.368
Co  0.682  0.139  0.632
Co  0.682  0.361  0.132
O  0.053  0.664  0.860
O  0.053  0.836  0.360
O  0.252  0.592  0.701
O  0.252  0.908  0.201
O  0.499  0.706  0.429
O  0.499  0.794  0.929
O  0.500  0.000  0.500
O  0.500  0.500  0.000
O  0.501  0.206  0.071
O  0.501  0.294  0.571
O  0.748  0.092  0.799
O  0.748  0.408  0.299
O  0.947  0.164  0.640
O  0.947  0.336  0.140